! PBE CaPm6Y2Ho3, relaxed; values from VASP
! VASP energy	-4.730	eV per atom
! total moment	0.00	Bohr magnetons per cell
! ΔH_f (0 K)	0.03	eV/atom
&SYSTEM
  ibrav = 0, nat = 12, ntyp = 4
/
ATOMIC_SPECIES
Pm 145.00 Pm.upf
Ho 164.93 Ho.upf
Y 88.91 Y.upf
Ca 40.08 Ca.upf
ATOMIC_POSITIONS angstrom
Pm -0.0528 3.6017 8.7549
Pm 2.0735 3.5903 3.0064
Pm -1.0683 1.8434 2.9848
Pm 3.1461 1.7542 8.7549
Pm 2.1306 -0.0041 2.9848
Pm 0.0043 0.0074 8.7333
Ho 1.0389 1.7988 5.8699
Ho -2.1044 3.6142 5.8699
Ho 4.1822 -0.0165 5.8699
Y 3.1421 1.8143 0.0140
Y 0.0012 3.6283 0.0140
Ca 0.0000 0.0000 0.0000
CELL_PARAMETERS angstrom
6.2824 0.0007 0.0140
-3.1391 5.4419 0.0140
-1.0655 -1.8450 11.7117